[1]
A relaxed PrBiRh2 crystal. Source: the Alexandria database, functional GGA-PBE.

The space group is P4/mmm (No. 123) and the conventional cell measures 4.750, 4.750 and 3.723 Å, with angles of 90.00, 90.00 and 90.00 degrees. The distinct sites, in fractional coordinates, are Pr at (0.000, 0.000, 0.000), Bi at (0.500, 0.500, 0.000) and Rh at (0.000, 0.500, 0.500).

As for the crystal system: tetragonal. The mass density is 10.99 Mg/m³. The calculation puts the formation enthalpy at 0 K at -0.431 eV per atom.

[2]
A relaxed ZrBrCl2 crystal. Source: the Alexandria database, functional GGA-PBE.

The space group is Cmmm (No. 65) and the conventional cell measures 5.383, 13.674 and 3.450 Å, with angles of 90.00, 90.00 and 90.00 degrees. The distinct sites, in fractional coordinates, are Zr at (0.000, 0.000, 0.000), Br at (0.000, 0.500, 0.000) and Cl at (0.000, 0.139, 0.500).

The calculation puts the formation energy from raw total energies at -1.5026 eV per atom. As for the crystal system: orthorhombic. The mass density is 3.17 Mg/m³. The value obtained for the energy above the lowest structure with this stoichiometry is 49 meV/atom.

[3]
A relaxed EuPu2Sn crystal. Source: the Alexandria database, functional GGA-PBE.

The space group is Fm-3m (No. 225) and the conventional cell measures 7.682, 7.682 and 7.682 Å, with angles of 90.00, 90.00 and 90.00 degrees. The distinct sites, in fractional coordinates, are Eu at (0.000, 0.000, 0.000), Pu at (0.250, 0.250, 0.250) and Sn at (0.000, 0.000, 0.500).

As for the crystal system: cubic. The mass density is 11.12 Mg/m³. The calculation puts the formation enthalpy at 0 K at -0.060 eV per atom. The value obtained for the energy above the lowest structure with this stoichiometry is 158 meV/atom.

[4]
A relaxed Ti4Pd5Pt4 crystal. Source: the Alexandria database, functional GGA-PBE.

The space group is I4/m (No. 87) and the conventional cell measures 10.001, 10.001 and 4.038 Å, with angles of 90.00, 90.00 and 90.00 degrees. The distinct sites, in fractional coordinates, are Ti at (0.132, 0.236, 0.000), Pd at (0.000, 0.000, 0.000), Pd at (0.053, 0.811, 0.500) and Pt at (0.097, 0.625, 0.000).

As for the crystal system: tetragonal. The mass density is 12.36 Mg/m³. The calculation puts the formation enthalpy at 0 K at -0.733 eV per atom.

[5]
A relaxed PuZrNi crystal. Source: the Alexandria database, functional GGA-PBE.

The space group is I4mm (No. 107) and the conventional cell measures 3.268, 3.268 and 11.297 Å, with angles of 90.00, 90.00 and 90.00 degrees. The distinct sites, in fractional coordinates, are Pu at (0.000, 0.000, 0.000), Zr at (0.000, 0.000, 0.291) and Ni at (0.000, 0.000, 0.668).

As for the crystal system: tetragonal. The mass density is 10.84 Mg/m³. The calculation puts the formation enthalpy at 0 K at -0.048 eV per atom.

[6]
A relaxed LaZr2Te crystal. Source: the Alexandria database, functional GGA-PBE.

The space group is I4/mmm (No. 139) and the conventional cell measures 4.523, 4.523 and 9.936 Å, with angles of 90.00, 90.00 and 90.00 degrees. The distinct sites, in fractional coordinates, are La at (0.000, 0.000, 0.000), Zr at (0.000, 0.500, 0.250) and Te at (0.000, 0.000, 0.500).

The calculation puts the formation energy from raw total energies at -0.2173 eV per atom. As for the crystal system: tetragonal. The mass density is 7.33 Mg/m³.

Q: mass density of number 5 (PuZrNi)?
A: 10.84 Mg/m³

Q: Which formula does entry 5 have?
A: PuZrNi